Entry 1:
Ho2Zn3Pd4 after structural relaxation. Source: the Alexandria database, functional PBE.

Structure (CIF):
```
data_Ho2Zn3Pd4
_cell_length_a 5.590
_cell_length_b 15.045
_cell_length_c 7.633
_cell_angle_alpha 90.00
_cell_angle_beta 90.00
_cell_angle_gamma 90.00
_space_group_name_H-M_alt 'C m c e'
_space_group_IT_number 64
_space_group_name_Hall '-C 2ac 2'
loop_
_atom_site_label
_atom_site_type_symbol
_atom_site_fract_x
_atom_site_fract_y
_atom_site_fract_z
Ho1 Ho 0.000 0.113 0.081
Zn1 Zn 0.000 0.000 0.500
Zn2 Zn 0.250 0.228 0.750
Pd1 Pd 0.000 0.177 0.476
Pd2 Pd 0.250 0.056 0.750
```

Size of the total moment, μB/cell: 0.0
Final energy, eV per atom: -4.4824
V, Å³ per cell: 642
Energy relative to the elements, meV/atom: -733

***

Entry 2:
Ho2ZnPd6 after structural relaxation. Source: the Alexandria database, functional PBE.

Structure (CIF):
```
data_Ho2ZnPd6
_cell_length_a 13.619
_cell_length_b 7.640
_cell_length_c 3.447
_cell_angle_alpha 90.00
_cell_angle_beta 104.40
_cell_angle_gamma 90.00
_space_group_name_H-M_alt 'C 1 2/m 1'
_space_group_IT_number 12
_space_group_name_Hall '-C 2y'
loop_
_atom_site_label
_atom_site_type_symbol
_atom_site_fract_x
_atom_site_fract_y
_atom_site_fract_z
Ho1 Ho 0.153 0.000 0.151
Zn1 Zn 0.000 0.500 0.500
Pd1 Pd 0.000 0.256 0.000
Pd2 Pd 0.166 0.296 0.665
```

Size of the total moment, μB/cell: 0.0
Final energy, eV per atom: -5.1357
V, Å³ per cell: 347
Energy relative to the elements, meV/atom: -515